Entry 1:
Compound: KPtBr6
Source: Alexandria
Functional: PBE
Structure: relaxed

Unit cell a=6.5612 b=6.5612 c=7.8799 alpha=113.63 beta=113.63 gamma=81.77
Last column: nearest neighbours and their distance in Å.
Element x y z (fractional)
K (0.0000, 0.0000, 0.0000)  4 Br 3.44
Pt (0.5000, 0.5000, 0.5000)  6 Br 2.48-2.51
Br (0.1452, 0.5561, 0.2397)  1 Pt 2.51
Br (0.2879, 0.2879, 0.5775)  1 Pt 2.48
Br (0.4439, 0.8548, 0.7603)  1 Pt 2.51
Br (0.5561, 0.1452, 0.2397)  1 Pt 2.51
Br (0.7121, 0.7121, 0.4225)  1 Pt 2.48
Br (0.8548, 0.4439, 0.7603)  1 Pt 2.51

Relative energy among the computed polymorphs ... 0 meV/atom
N(E_F) ... 7.9 states/eV/f.u.
ΔE_f (raw) ... -0.531 eV per atom
Space-group type ... No. 12
Calculated volume ... 35.584 Å³ per atom
E ... -2.6782 eV/atom
Density ... 4.16 g/cm3
Crystal system ... monoclinic


Entry 2:
Compound: ScCu3Ni
Source: Alexandria
Functional: PBE
Structure: relaxed

Unit cell a=8.6939 b=8.6939 c=8.6939 alpha=149.18 beta=149.18 gamma=44.15
Last column: nearest neighbours and their distance in Å.
Element x y z (fractional)
Sc (0.1885, 0.1885, 0.0000)  2 Ni 2.51, 4 Cu 2.79
Sc (0.8115, 0.8115, 0.0000)  2 Ni 2.51, 4 Cu 2.79
Cu (0.3749, 0.6230, 0.7519)  2 Ni 2.29-2.35, 2 Cu 2.29-2.33
Cu (0.3770, 0.1289, 0.7519)  2 Ni 2.29-2.35, 2 Cu 2.29-2.33
Cu (0.3770, 0.6251, 0.2481)  2 Ni 2.29-2.35, 2 Cu 2.29-2.33
Cu (0.5645, 0.0645, 0.5000)  2 Ni 2.53, 4 Cu 2.75
Cu (0.8711, 0.6230, 0.2481)  2 Ni 2.29-2.35, 2 Cu 2.29-2.33
Cu (0.9355, 0.4355, 0.5000)  2 Ni 2.53, 4 Cu 2.75
Ni (0.2500, 0.7500, 0.5000)  4 Cu 2.35, 4 Sc 2.51
Ni (0.5000, 0.5000, 0.0000)  8 Cu 2.29-2.53

Relative energy among the computed polymorphs ... 0 meV/atom
N(E_F) ... 2.9 states/eV/f.u.
Space-group type ... No. 119
Calculated volume ... 17.203 Å³ per atom
E ... -4.6931 eV/atom
Formation energy ... 0.9 eV per formula unit
Density ... 5.68 g/cm3
Crystal system ... tetragonal


Entry 3:
Compound: BeVAg
Source: Alexandria
Functional: PBE
Structure: relaxed

Unit cell a=5.3563 b=3.7642 c=7.9373 alpha=90.00 beta=90.00 gamma=90.00
Last column: nearest neighbours and their distance in Å.
Element x y z (fractional)
Be (0.1937, 0.2500, 0.1094)  3 Ag 2.41-2.61, 4 V 2.43-2.70
Be (0.3063, 0.7500, 0.6094)  3 Ag 2.41-2.61, 4 V 2.43-2.70
Be (0.6937, 0.2500, 0.3906)  3 Ag 2.41-2.61, 4 V 2.43-2.70
Be (0.8063, 0.7500, 0.8906)  3 Ag 2.41-2.61, 4 V 2.43-2.70
V (0.1402, 0.2500, 0.4471)  4 Be 2.43-2.70, 2 V 2.55
V (0.3598, 0.7500, 0.9471)  4 Be 2.43-2.70, 2 V 2.55
V (0.6402, 0.2500, 0.0529)  4 Be 2.43-2.70, 2 V 2.55
V (0.8598, 0.7500, 0.5529)  4 Be 2.43-2.70, 2 V 2.55
Ag (0.0496, 0.2500, 0.7957)  3 Be 2.41-2.61
Ag (0.4504, 0.7500, 0.2957)  3 Be 2.41-2.61
Ag (0.5496, 0.2500, 0.7043)  3 Be 2.41-2.61
Ag (0.9504, 0.7500, 0.2043)  3 Be 2.41-2.61

Relative energy among the computed polymorphs ... 191 meV/atom
N(E_F) ... 1.8 states/eV/f.u.
Space-group type ... No. 62
Calculated volume ... 13.336 Å³ per atom
E ... -4.9335 eV/atom
Formation energy ... 0.9 eV per formula unit
Density ... 6.97 g/cm3
Crystal system ... orthorhombic